1.
Below is an optimized crystal structure of NdPuPbO6, with properties calculated at the PBE-GGA level.

Summary:
M_tot (μB per cell): 1.987
Crystal system: trigonal
Space group: P-31c, No. 163
Energy relative to the elements, uncorrected (eV per atom): -2.351

abc: 5.993 5.993 9.883
angles: 90.00 90.00 120.00
Positions (direct):
Nd1 0.333 0.667 0.250
Nd2 0.667 0.333 0.750
Pu1 0.333 0.667 0.750
Pu2 0.667 0.333 0.250
Pb1 0.000 0.000 0.000
Pb2 0.000 0.000 0.500
O1 0.044 0.387 0.640
O2 0.044 0.657 0.860
O3 0.343 0.387 0.860
O4 0.343 0.956 0.640
O5 0.387 0.044 0.140
O6 0.387 0.343 0.360
O7 0.613 0.657 0.640
O8 0.613 0.956 0.860
O9 0.657 0.044 0.360
O10 0.657 0.613 0.140
O11 0.956 0.343 0.140
O12 0.956 0.613 0.360

2.
Below is an optimized crystal structure of DyHoAg, with properties calculated at the PBE-GGA level.

Summary:
M_tot (μB per cell): 0.000
Crystal system: monoclinic
Space group: Cm, No. 8
DFT total energy (eV per cell): -24.4

abc: 5.089 5.089 7.908
angles: 108.89 108.89 59.93
Positions (direct):
Dy1 0.000 0.000 0.000
Dy2 0.165 0.165 0.492
Ho1 0.419 0.419 0.258
Ho2 0.584 0.584 0.749
Ag1 0.723 0.723 0.170
Ag2 0.861 0.861 0.580

3.
Below is an optimized crystal structure of AcTb6Y2, with properties calculated at the PBE-GGA level.

Summary:
M_tot (μB per cell): 0.001
Crystal system: trigonal
Space group: R3, No. 146
DFT total energy (eV per cell): -41.4

abc: 9.267 9.267 9.267
angles: 43.78 43.78 43.78
Positions (direct):
Ac1 0.000 0.000 0.000
Tb1 0.046 0.048 0.561
Tb2 0.048 0.561 0.046
Tb3 0.284 0.778 0.286
Tb4 0.286 0.284 0.778
Tb5 0.561 0.046 0.048
Tb6 0.778 0.286 0.284
Y1 0.585 0.585 0.585
Y2 0.758 0.758 0.758

4.
Below is an optimized crystal structure of FeNi3Pd6, with properties calculated at the PBE-GGA level.

Summary:
M_tot (μB per cell): 7.362
Crystal system: trigonal
Space group: R3, No. 146
DFT total energy (eV per cell): -54.6

abc: 5.519 5.519 5.519
angles: 73.81 73.81 73.81
Positions (direct):
Fe1 0.000 0.000 0.000
Ni1 0.315 0.315 0.315
Ni2 0.502 0.502 0.502
Ni3 0.814 0.814 0.814
Pd1 0.158 0.897 0.418
Pd2 0.397 0.658 0.922
Pd3 0.418 0.158 0.897
Pd4 0.658 0.922 0.397
Pd5 0.897 0.418 0.158
Pd6 0.922 0.397 0.658

5.
Below is an optimized crystal structure of TbHfAgPt, with properties calculated at the PBE-GGA level.

Summary:
M_tot (μB per cell): 0.000
Crystal system: cubic
Space group: F-43m, No. 216
DFT total energy (eV per cell): -25.6

abc: 4.893 4.893 4.893
angles: 60.00 60.00 60.00
Positions (direct):
Tb1 0.000 0.000 0.000
Hf1 0.500 0.500 0.500
Ag1 0.250 0.250 0.250
Pt1 0.750 0.750 0.750

6.
Below is an optimized crystal structure of CeCuPtAu, with properties calculated at the PBE-GGA level.

Summary:
M_tot (μB per cell): 0.245
Crystal system: cubic
Space group: F-43m, No. 216
DFT total energy (eV per cell): -21.3

abc: 4.775 4.775 4.775
angles: 60.00 60.00 60.00
Positions (direct):
Ce1 0.000 0.000 0.000
Cu1 0.750 0.750 0.750
Pt1 0.250 0.250 0.250
Au1 0.500 0.500 0.500

- Which of these has the highest M_tot?
  FeNi3Pd6